Entry from Alexandria: Al2MoRh at its PBEsol-relaxed geometry (meta-GGA SCAN).

Summary:
Crystal system: cubic
DOS(E_F) (states/eV/atom): 1.09
Energy above the lowest structure with this stoichiometry (eV per formula unit): 0.000
Volume (Å³ per cell): 56.12
Energy relative to the elements (meV per atom): -544

Cell lengths 4.2975, 4.2975, 4.2975 Å; angles 60.00, 60.00, 60.00 degrees
Last column: magnetic moment on the atom in μB.
Positions (direct):
Mo: 0.5000 0.5000 0.5000  1.44
Rh: 0.0000 0.0000 0.0000  0.20
Al: 0.2500 0.2500 0.2500  -0.01
Al: 0.7500 0.7500 0.7500  -0.01